(1)
The following is a DFT calculation (PBE) of a relaxed structure of ScTcSn3.

- Symmetry: Pm-3m
- Energy relative to the lowest polymorph listed for this composition: 0.0 meV/atom
- Density of states at the Fermi level: 0.7624 states/eV/atom
- Crystal system: cubic
- Total magnetic moment: 0.0 μB/f.u.

Cell lengths 5.151, 5.151, 5.151 Å; angles 90.00, 90.00, 90.00 degrees
Sites, in units of the cell vectors:
Sc  0.500  0.500  0.500
Sn  0.000  0.500  0.000
Sn  0.000  0.000  0.500
Sn  0.500  0.000  0.000
Tc  0.000  0.000  0.000


(2)
The following is a DFT calculation (PBE) of a relaxed structure of Sc8Tc2Sn.

- Symmetry: P1
- Density of states at the Fermi level: 0.9501 states/eV/atom
- Crystal system: triclinic
- Total magnetic moment: 0.0 μB/f.u.

Cell lengths 4.849, 6.588, 8.638 Å; angles 115.06, 106.39, 89.91 degrees
Sites, in units of the cell vectors:
Sc  0.651  0.276  0.940
Sc  0.966  0.017  0.568
Sc  0.310  0.372  0.254
Sc  0.733  0.895  0.105
Sc  0.341  0.867  0.319
Sc  0.926  0.424  0.486
Sc  0.120  0.513  0.883
Sc  0.514  0.735  0.664
Tc  0.815  0.626  0.266
Tc  0.488  0.307  0.608
Sn  0.135  0.969  0.907


(3)
The following is a DFT calculation (PBE) of a relaxed structure of Sc4TcSn.

- Symmetry: Pnma
- Energy relative to the lowest polymorph listed for this composition: 0.0 meV/atom
- Density of states at the Fermi level: 0.7587 states/eV/atom
- Crystal system: orthorhombic
- Total magnetic moment: 0.0 μB/f.u.

Cell lengths 3.944, 7.682, 17.484 Å; angles 90.00, 90.00, 90.00 degrees
Sites, in units of the cell vectors:
Sc  0.750  0.882  0.643
Sc  0.250  0.118  0.357
Sc  0.250  0.618  0.143
Sc  0.750  0.382  0.857
Sc  0.750  0.848  0.452
Sc  0.250  0.152  0.548
Sc  0.250  0.652  0.952
Sc  0.750  0.348  0.048
Sc  0.750  0.004  0.935
Sc  0.250  0.996  0.065
Sc  0.250  0.496  0.435
Sc  0.750  0.504  0.565
Sc  0.750  0.939  0.209
Sc  0.250  0.061  0.791
Sc  0.250  0.561  0.709
Sc  0.750  0.439  0.291
Tc  0.750  0.252  0.439
Tc  0.250  0.748  0.561
Tc  0.250  0.248  0.939
Tc  0.750  0.752  0.061
Sn  0.750  0.754  0.809
Sn  0.250  0.246  0.191
Sn  0.250  0.746  0.309
Sn  0.750  0.254  0.691


(4)
The following is a DFT calculation (PBE) of a relaxed structure of ThScTcSn.

- Symmetry: F-43m
- Crystal system: cubic
- Total magnetic moment: 0.0 μB/f.u.

Cell lengths 4.919, 4.919, 4.919 Å; angles 60.00, 60.00, 60.00 degrees
Sites, in units of the cell vectors:
Sc  0.000  0.000  0.000
Sn  0.250  0.250  0.250
Th  0.750  0.750  0.750
Tc  0.500  0.500  0.500


(5)
The following is a DFT calculation (PBE) of a relaxed structure of ScTiTcSn.

- Symmetry: F-43m
- Crystal system: cubic
- Total magnetic moment: 0.0 μB/f.u.

Cell lengths 4.646, 4.646, 4.646 Å; angles 60.00, 60.00, 60.00 degrees
Sites, in units of the cell vectors:
Sc  0.500  0.500  0.500
Ti  0.750  0.750  0.750
Sn  0.250  0.250  0.250
Tc  0.000  0.000  0.000


(6)
The following is a DFT calculation (PBE) of a relaxed structure of ScTi2TcSn.

- Symmetry: P4/mmm
- Energy relative to the lowest polymorph listed for this composition: 0.0 meV/atom
- Density of states at the Fermi level: 1.5598 states/eV/atom
- Crystal system: tetragonal
- Total magnetic moment: 1.5 μB/f.u.

Cell lengths 4.976, 4.911, 4.976 Å; angles 90.00, 90.00, 90.00 degrees
Sites, in units of the cell vectors:
Sc  0.500  0.500  0.500
Ti  0.000  0.000  0.500
Ti  0.500  0.000  0.000
Sn  0.000  0.000  0.000
Tc  0.000  0.500  0.000


| no. | energy of formation from the pure elements (eV/atom) |
| --- | --- |
| 1 | 0.3435 |
| 2 | -0.2534 |
| 3 | -0.3891 |
| 4 | -0.3404 |
| 5 | -0.3500 |
| 6 | 1.0660 |